NiIr PBE relaxed; energy of formation from the pure elements = 0.6692 eV per atom
1.0
3.832 0.000 0.000
-1.916 3.318 0.000
0.000 0.000 4.493
Ni Ir
2 2
direct
0.000 0.000 0.000
0.000 0.000 0.500
0.333 0.667 0.250
0.667 0.333 0.750



LaTl2HgGe PBE relaxed; energy of formation from the pure elements = 0.4028 eV per atom
1.0
5.445 0.000 0.000
0.000 5.445 0.000
0.000 0.000 6.104
La Tl Hg Ge
1 2 1 1
direct
0.000 0.000 0.000
0.000 0.500 0.500
0.500 0.000 0.500
0.000 0.000 0.500
0.500 0.500 0.000



PrNdSeI PBE relaxed; energy above the lowest structure with this stoichiometry = 0.56 eV per formula unit; formation energy without anion corrections = -116.9 kJ/mol of atoms
1.0
0.000 3.788 3.788
3.788 0.000 3.788
3.788 3.788 0.000
Pr Nd Se I
1 1 1 1
direct
0.000 0.000 0.000
0.500 0.500 0.500
0.250 0.250 0.250
0.750 0.750 0.750



Ho12Ni6H PBE relaxed; E = -5.102 eV per atom
1.0
5.774 3.334 3.924
-5.774 3.334 3.924
0.000 -6.668 3.924
Ho Ni H
12 6 1
direct
0.039 0.910 0.684
0.090 0.316 0.961
0.189 0.565 0.411
0.316 0.961 0.090
0.411 0.189 0.565
0.435 0.589 0.811
0.565 0.411 0.189
0.589 0.811 0.435
0.684 0.039 0.910
0.811 0.435 0.589
0.910 0.684 0.039
0.961 0.090 0.316
0.111 0.289 0.621
0.289 0.621 0.111
0.379 0.889 0.711
0.621 0.111 0.289
0.711 0.379 0.889
0.889 0.711 0.379
0.000 0.000 0.000



In2Sn3Pb PBE relaxed; energy of formation from the pure elements = 0.0336 eV per atom
1.0
2.368 -7.443 0.000
2.368 7.443 0.000
0.000 0.000 4.810
In Sn Pb
2 3 1
direct
0.169 0.831 0.000
0.831 0.169 0.000
0.000 0.000 0.500
0.330 0.670 0.500
0.670 0.330 0.500
0.500 0.500 0.000



PtINO2 PBE relaxed; formation energy without anion corrections = 79.1 kJ/mol of atoms
1.0
3.718 0.000 0.000
0.000 3.718 0.000
0.000 0.000 8.492
Pt I N O
1 1 1 2
direct
0.000 0.000 0.000
0.000 0.000 0.500
0.500 0.500 0.500
0.000 0.500 0.000
0.500 0.000 0.000



| no. | size of the total moment (Bohr magnetons per cell) |
| --- | --- |
| 1 | 0.00 |
| 2 | 0.00 |
| 3 | 0.00 |
| 4 | 0.00 |
| 5 | 0.00 |
| 6 | 1.11 |